No. 1
# Na2TlBi, relaxed, DFT PBE
data_Na2TlBi
_chemical_formula_sum 'Na2 Tl1 Bi1'
_symmetry_space_group_name_H-M 'P 1'
_symmetry_Int_Tables_number 1
_symmetry_space_group_name_Hall 'P 1'
_cell_length_a 4.8453
_cell_length_b 4.8715
_cell_length_c 4.8715
_cell_angle_alpha 90.00
_cell_angle_beta 90.00
_cell_angle_gamma 90.00
loop_
_atom_site_label
_atom_site_fract_x
_atom_site_fract_y
_atom_site_fract_z
_atom_site_occupancy
Na1 0.0000 0.5000 0.0000 1
Na2 0.0000 0.0000 0.5000 1
Bi1 0.5000 0.5000 0.5000 1
Tl1 0.5000 0.0000 0.0000 1
# ρ: 6.63 g/cm3
# Excess energy over the best structure of this formula in the dataset: 0.086 eV per atom
# ΔH_f (0 K): -0.20 eV per atom
# Crystal system: tetragonal



No. 2
# NaTl4Bi, relaxed, DFT PBE
data_NaTl4Bi
_chemical_formula_sum 'Na1 Tl4 Bi1'
_symmetry_space_group_name_H-M 'P 1'
_symmetry_Int_Tables_number 1
_symmetry_space_group_name_Hall 'P 1'
_cell_length_a 4.7714
_cell_length_b 4.7741
_cell_length_c 9.3410
_cell_angle_alpha 90.00
_cell_angle_beta 90.02
_cell_angle_gamma 90.00
loop_
_atom_site_label
_atom_site_fract_x
_atom_site_fract_y
_atom_site_fract_z
_atom_site_occupancy
Na1 0.5012 0.4976 0.9981 1
Tl1 0.0013 0.4972 0.7403 1
Tl2 0.5014 0.9973 0.2558 1
Tl3 0.0013 0.4972 0.2560 1
Tl4 0.5013 0.9973 0.7405 1
Bi1 0.0014 0.9971 0.4981 1
# ρ: 8.19 g/cm3
# Excess energy over the best structure of this formula in the dataset: 0.063 eV per atom
# ΔH_f (0 K): 0.00 eV per atom
# Crystal system: tetragonal



No. 3
# Na12Tl2Bi5, relaxed, DFT PBE
data_Na12Tl2Bi5
_chemical_formula_sum 'Na12 Tl2 Bi5'
_symmetry_space_group_name_H-M 'P 1'
_symmetry_Int_Tables_number 1
_symmetry_space_group_name_Hall 'P 1'
_cell_length_a 6.7948
_cell_length_b 9.4430
_cell_length_c 11.3046
_cell_angle_alpha 101.68
_cell_angle_beta 90.00
_cell_angle_gamma 111.09
loop_
_atom_site_label
_atom_site_fract_x
_atom_site_fract_y
_atom_site_fract_z
_atom_site_occupancy
Na1 0.9169 0.8339 0.2157 1
Na2 0.9534 0.4086 0.1171 1
Na3 0.5915 0.6717 0.4398 1
Na4 0.4085 0.3283 0.5602 1
Na5 0.0802 0.6717 0.4398 1
Na6 0.0831 0.1661 0.7843 1
Na7 0.5448 0.5914 0.8829 1
Na8 0.5094 0.0188 0.3488 1
Na9 0.4552 0.4086 0.1171 1
Na10 0.9198 0.3283 0.5602 1
Na11 0.4906 0.9812 0.6512 1
Na12 0.0466 0.5914 0.8829 1
Tl1 0.2595 0.0000 0.0000 1
Tl2 0.7405 0.0000 0.0000 1
Bi1 0.3197 0.6394 0.6694 1
Bi2 0.3674 0.7347 0.1318 1
Bi3 0.0000 0.0000 0.5000 1
Bi4 0.6803 0.3606 0.3306 1
Bi5 0.6326 0.2653 0.8682 1
# ρ: 4.35 g/cm3
# ΔH_f (0 K): -0.19 eV per atom
# Crystal system: monoclinic



No. 4
# Na3TlBi, relaxed, DFT PBE
data_Na3TlBi
_chemical_formula_sum 'Na6 Tl2 Bi2'
_symmetry_space_group_name_H-M 'P 1'
_symmetry_Int_Tables_number 1
_symmetry_space_group_name_Hall 'P 1'
_cell_length_a 5.1707
_cell_length_b 8.1495
_cell_length_c 7.6189
_cell_angle_alpha 90.00
_cell_angle_beta 90.00
_cell_angle_gamma 90.00
loop_
_atom_site_label
_atom_site_fract_x
_atom_site_fract_y
_atom_site_fract_z
_atom_site_occupancy
Na1 0.2500 0.0451 0.2184 1
Na2 0.7500 0.9549 0.7816 1
Na3 0.7500 0.7500 0.2108 1
Na4 0.2500 0.2500 0.7892 1
Na5 0.7500 0.5451 0.7816 1
Na6 0.2500 0.4549 0.2184 1
Tl1 0.7500 0.2500 0.4716 1
Tl2 0.2500 0.7500 0.5284 1
Bi1 0.2500 0.7500 0.9272 1
Bi2 0.7500 0.2500 0.0728 1
# ρ: 4.99 g/cm3
# Excess energy over the best structure of this formula in the dataset: 0.059 eV per atom
# ΔH_f (0 K): -0.20 eV per atom
# Crystal system: orthorhombic



No. 5
# NaTl2Bi, relaxed, DFT PBE
data_NaTl2Bi
_chemical_formula_sum 'Na1 Tl2 Bi1'
_symmetry_space_group_name_H-M 'P 1'
_symmetry_Int_Tables_number 1
_symmetry_space_group_name_Hall 'P 1'
_cell_length_a 4.9410
_cell_length_b 4.9410
_cell_length_c 7.0036
_cell_angle_alpha 69.34
_cell_angle_beta 69.34
_cell_angle_gamma 60.00
loop_
_atom_site_label
_atom_site_fract_x
_atom_site_fract_y
_atom_site_fract_z
_atom_site_occupancy
Tl1 0.2532 0.2532 0.2403 1
Tl2 0.0790 0.0790 0.7631 1
Bi1 0.4935 0.4935 0.5196 1
Na1 0.6743 0.6743 0.9770 1
# ρ: 7.87 g/cm3
# Excess energy over the best structure of this formula in the dataset: 0.112 eV per atom
# ΔH_f (0 K): -0.06 eV per atom
# Crystal system: trigonal



No. 6
# NaTl7Bi3, relaxed, DFT PBE
data_NaTl7Bi3
_chemical_formula_sum 'Na1 Tl7 Bi3'
_symmetry_space_group_name_H-M 'P 1'
_symmetry_Int_Tables_number 1
_symmetry_space_group_name_Hall 'P 1'
_cell_length_a 8.2672
_cell_length_b 7.0829
_cell_length_c 7.0829
_cell_angle_alpha 120.00
_cell_angle_beta 90.00
_cell_angle_gamma 90.00
loop_
_atom_site_label
_atom_site_fract_x
_atom_site_fract_y
_atom_site_fract_z
_atom_site_occupancy
Bi1 0.7827 0.0061 0.5031 1
Bi2 0.7827 0.4969 0.9939 1
Bi3 0.7827 0.4969 0.5031 1
Na1 0.4405 0.3333 0.6667 1
Tl1 0.1024 0.6775 0.8387 1
Tl2 0.4664 0.8390 0.6780 1
Tl3 0.1024 0.1613 0.3225 1
Tl4 0.4664 0.3220 0.1610 1
Tl5 0.4664 0.8390 0.1610 1
Tl6 0.1024 0.1613 0.8387 1
Tl7 0.1200 0.6667 0.3333 1
# ρ: 9.62 g/cm3
# ΔH_f (0 K): 0.00 eV per atom
# Crystal system: trigonal



No. 7
# NaTl2Bi, relaxed, DFT PBE
data_NaTl2Bi
_chemical_formula_sum 'Na1 Tl2 Bi1'
_symmetry_space_group_name_H-M 'P 1'
_symmetry_Int_Tables_number 1
_symmetry_space_group_name_Hall 'P 1'
_cell_length_a 4.9031
_cell_length_b 4.9418
_cell_length_c 4.9418
_cell_angle_alpha 90.00
_cell_angle_beta 90.00
_cell_angle_gamma 90.00
loop_
_atom_site_label
_atom_site_fract_x
_atom_site_fract_y
_atom_site_fract_z
_atom_site_occupancy
Bi1 0.5000 0.5000 0.5000 1
Na1 0.5000 0.0000 0.0000 1
Tl1 0.0000 0.0000 0.5000 1
Tl2 0.0000 0.5000 0.0000 1
# ρ: 8.89 g/cm3
# Excess energy over the best structure of this formula in the dataset: 0.046 eV per atom
# ΔH_f (0 K): -0.13 eV per atom
# Crystal system: tetragonal



No. 8
# NaTl3Bi4, relaxed, DFT PBE
data_NaTl3Bi4
_chemical_formula_sum 'Na1 Tl3 Bi4'
_symmetry_space_group_name_H-M 'P 1'
_symmetry_Int_Tables_number 1
_symmetry_space_group_name_Hall 'P 1'
_cell_length_a 5.9568
_cell_length_b 6.0212
_cell_length_c 8.4719
_cell_angle_alpha 110.91
_cell_angle_beta 110.58
_cell_angle_gamma 90.00
loop_
_atom_site_label
_atom_site_fract_x
_atom_site_fract_y
_atom_site_fract_z
_atom_site_occupancy
Bi1 0.7453 0.2424 0.4906 1
Bi2 0.6534 0.6489 0.3067 1
Bi3 0.2547 0.7576 0.5094 1
Bi4 0.3466 0.3511 0.6933 1
Tl1 0.1220 0.1251 0.2440 1
Tl2 0.0000 0.5000 0.0000 1
Tl3 0.8780 0.8749 0.7560 1
Na1 0.5000 0.0000 0.0000 1
# ρ: 9.30 g/cm3
# ΔH_f (0 K): -0.04 eV per atom
# Crystal system: monoclinic



Record order is preserved below.
Total moment: 0.0 0.0 0.0 0.0 0.0 0.0 0.0 0.0 μB/cell